NaPuPb2 | PBE | relaxed

Values from the calculation:
symmetry	No. 166
total energy	-5.83	eV per atom
magnetic moment	6.19	Bohr magnetons per cell
formation energy	-0.3	eV per formula unit
energy above the lowest structure with this stoichiometry	0.34	eV/f.u.
crystal system	trigonal

Cell lengths 3.4922, 3.4922, 11.1612 Å; angles 81.00, 81.00, 60.00 degrees
With the nearest neighbours (Å) after each atom.
Positions (direct):
Na1 0.5000 0.5000 0.5000  6 Pb 3.37, 6 Na 3.49
Pb1 0.2487 0.2487 0.2538  3 Na 3.37, 3 Pu 3.44, 6 Pb 3.49
Pb2 0.7513 0.7513 0.7462  3 Na 3.37, 3 Pu 3.44, 6 Pb 3.49
Pu1 0.0000 0.0000 0.0000  6 Pb 3.44, 6 Pu 3.49